Below is a relaxed NaWCl2 crystal, with properties calculated at the PBE-GGA level.

Its total energy is -18.0 eV/cell. As for the offset from the most stable computed form: 246.0 meV/atom. The total magnetization is 0.000 Bohr magnetons per cell. The calculation puts the raw formation energy at -14 meV per atom. The space group is R-3m, No. 166.

Cell: 10.903 10.903 10.903 Å, 16.68 16.68 16.68°
Atoms (fractional coordinates):
Na 0.000 0.000 0.000
W 0.500 0.500 0.500
Cl 0.113 0.113 0.113
Cl 0.887 0.887 0.887



Below is a relaxed Na3WCl crystal, with properties calculated at the PBE-GGA level.

Its total energy is -13.6 eV/cell. As for the offset from the most stable computed form: 431.2 meV/atom. The total magnetization is 6.000 Bohr magnetons per cell. The calculation puts the raw formation energy at 1038 meV per atom. The space group is Pm-3m, No. 221.

Cell: 6.060 6.060 6.060 Å, 90.00 90.00 90.00°
Atoms (fractional coordinates):
Na 0.000 0.000 0.500
Na 0.000 0.500 0.000
Na 0.500 0.000 0.000
W 0.000 0.000 0.000
Cl 0.500 0.500 0.500



Below is a relaxed NaWCl2 crystal, with properties calculated at the PBE-GGA level.

Its total energy is -15.9 eV/cell. As for the offset from the most stable computed form: 780.5 meV/atom. The total magnetization is 0.985 Bohr magnetons per cell. The calculation puts the raw formation energy at 521 meV per atom. The space group is Fm-3m, No. 225.

Cell: 4.555 4.555 4.555 Å, 60.00 60.00 60.00°
Atoms (fractional coordinates):
Na 0.000 0.000 0.000
W 0.500 0.500 0.500
Cl 0.250 0.250 0.250
Cl 0.750 0.750 0.750



Below is a relaxed NaW2Cl crystal, with properties calculated at the PBE-GGA level.

Its total energy is -20.5 eV/cell. As for the offset from the most stable computed form: 1357.9 meV/atom. The total magnetization is 1.185 Bohr magnetons per cell. The calculation puts the raw formation energy at 2132 meV per atom. The space group is Fm-3m, No. 225.

Cell: 4.550 4.550 4.550 Å, 60.00 60.00 60.00°
Atoms (fractional coordinates):
Na 0.000 0.000 0.000
W 0.250 0.250 0.250
W 0.750 0.750 0.750
Cl 0.500 0.500 0.500



Below is a relaxed NaWCl3 crystal, with properties calculated at the PBE-GGA level.

Its total energy is -17.3 eV/cell. As for the offset from the most stable computed form: 881.8 meV/atom. The total magnetization is 4.000 Bohr magnetons per cell. The calculation puts the raw formation energy at 495 meV per atom. The space group is Pm-3m, No. 221.

Cell: 4.925 4.925 4.925 Å, 90.00 90.00 90.00°
Atoms (fractional coordinates):
Na 0.000 0.000 0.000
W 0.500 0.500 0.500
Cl 0.000 0.000 0.500
Cl 0.000 0.500 0.000
Cl 0.500 0.000 0.000



Below is a relaxed Na3WCl crystal, with properties calculated at the PBE-GGA level.

Its total energy is -15.7 eV/cell. As for the offset from the most stable computed form: 0.0 meV/atom. The total magnetization is 5.687 Bohr magnetons per cell. The calculation puts the raw formation energy at 607 meV per atom. The space group is Pm-3m, No. 221.

Cell: 5.338 5.338 5.338 Å, 90.00 90.00 90.00°
Atoms (fractional coordinates):
Na 0.000 0.000 0.500
Na 0.000 0.500 0.000
Na 0.500 0.000 0.000
W 0.500 0.500 0.500
Cl 0.000 0.000 0.000



Below is a relaxed Na2Y2Cl crystal, with properties calculated at the PBE-GGA level.

Its total energy is -35.9 eV/cell. As for the offset from the most stable computed form: 0.0 meV/atom. The total magnetization is 0.000 Bohr magnetons per cell. The calculation puts the raw formation energy at -108 meV per atom. The space group is P4/mbm, No. 127.

Cell: 6.955 6.955 6.733 Å, 90.00 90.00 90.00°
Atoms (fractional coordinates):
Na 0.154 0.346 0.000
Na 0.346 0.846 0.000
Na 0.654 0.154 0.000
Na 0.846 0.654 0.000
Y 0.169 0.669 0.500
Y 0.331 0.169 0.500
Y 0.669 0.831 0.500
Y 0.831 0.331 0.500
Cl 0.000 0.000 0.000
Cl 0.500 0.500 0.000



Below is a relaxed Na3YCl6 crystal, with properties calculated at the PBE-GGA level.

Its total energy is -40.1 eV/cell. As for the offset from the most stable computed form: 138.8 meV/atom. The total magnetization is 0.000 Bohr magnetons per cell. The calculation puts the raw formation energy at -1860 meV per atom. The space group is Fm-3m, No. 225.

Cell: 7.516 7.516 7.516 Å, 60.00 60.00 60.00°
Atoms (fractional coordinates):
Na 0.000 0.000 0.000
Na 0.250 0.250 0.250
Na 0.750 0.750 0.750
Y 0.500 0.500 0.500
Cl 0.254 0.254 0.746
Cl 0.254 0.746 0.254
Cl 0.254 0.746 0.746
Cl 0.746 0.254 0.254
Cl 0.746 0.254 0.746
Cl 0.746 0.746 0.254